--- one ---
## Zr6Bi2H (PBE)

Data for crystalline Zr6Bi2H at its relaxed geometry.

```
Zr6Bi2H
1.0
5.9863 0.0000 0.0000
0.0000 6.8807 0.0000
-5.9652 0.0000 9.4214
Zr Bi H
12 4 2
Cartesian
-2.2330 1.4631 4.4633 Zr
-5.2156 1.9773 9.1740 Zr
-0.7405 4.8701 4.4659 Zr
-3.7231 5.4509 9.1766 Zr
0.7662 0.1065 2.3553 Zr
-2.2164 3.3339 7.0660 Zr
2.2375 3.5468 2.3554 Zr
-0.7451 6.7742 7.0661 Zr
3.7442 1.4298 0.2448 Zr
0.7616 2.0106 4.9555 Zr
5.2367 4.9034 0.2474 Zr
2.2540 5.4176 4.9580 Zr
-3.6136 0.6303 7.0548 Bi
-0.6310 2.8101 2.3442 Bi
0.6521 4.0706 7.0772 Bi
3.6347 6.2504 2.3665 Bi
0.0105 0.0000 4.7107 H
2.9931 3.4403 0.0000 H
```



--- two ---
## Zr6Bi2H (PBE)

Data for crystalline Zr6Bi2H at its relaxed geometry.

```
Zr6Bi2H
1.0
-3.1322 3.1322 4.7455
3.1322 -3.1322 4.7455
3.1322 3.1322 -4.7455
Zr Bi H
6 2 1
Cartesian
0.0000 0.0000 2.3617 Zr
1.5831 1.5831 0.0000 Zr
1.5491 -1.5491 4.7455 Zr
-1.5491 1.5491 4.7455 Zr
1.5491 1.5491 4.7455 Zr
0.0000 0.0000 7.1294 Zr
3.1322 0.0000 2.3728 Bi
0.0000 3.1322 2.3728 Bi
0.0000 0.0000 0.0000 H
```



Which of them is the most stable, and which is the least stable? two and one, in that order.



--- one ---
## Zr4Bi3H (PBE)

Data for crystalline Zr4Bi3H at its relaxed geometry.

```
Zr4Bi3H
1.0
9.0165 0.0000 0.0000
0.0000 7.7793 0.0000
0.0000 0.0000 5.6753
Zr Bi H
8 6 2
Cartesian
0.0000 0.9297 0.0000 Zr
0.0000 6.8002 2.9668 Zr
1.6516 1.6884 2.9521 Zr
2.8566 6.0908 0.1145 Zr
4.5082 0.9791 0.1292 Zr
4.5082 6.8495 2.8376 Zr
6.1598 6.0908 0.1145 Zr
7.3649 1.6884 2.9521 Zr
0.0000 5.7207 0.1315 Bi
2.1556 2.9444 0.1125 Bi
2.3526 4.8349 2.9501 Bi
4.5082 2.0586 2.9691 Bi
6.6638 4.8349 2.9501 Bi
6.8609 2.9444 0.1125 Bi
0.0000 0.8550 2.0556 H
4.5082 6.9242 4.8933 H
```



--- two ---
## Zr4Bi3H (PBE)

Data for crystalline Zr4Bi3H at its relaxed geometry.

```
Zr4Bi3H
1.0
3.2941 0.0000 0.0000
0.0000 9.2004 0.0000
0.0000 0.0000 12.3655
Zr Bi H
8 6 2
Cartesian
0.8235 0.5525 2.4858 Zr
0.8235 2.3001 10.2199 Zr
0.8235 4.0477 2.4858 Zr
0.8235 6.9003 7.2239 Zr
2.4705 2.3001 5.1416 Zr
2.4705 5.1527 9.8796 Zr
2.4705 6.9003 2.1456 Zr
2.4705 8.6479 9.8796 Zr
0.8235 0.6924 7.5990 Bi
0.8235 3.9077 7.5990 Bi
0.8235 6.9003 11.9227 Bi
2.4705 2.3001 0.4427 Bi
2.4705 5.2926 4.7664 Bi
2.4705 8.5079 4.7664 Bi
0.8235 2.3001 3.7842 H
2.4705 6.9003 8.5813 H
```



Which of them is the most stable, and which is the least stable? one and two, in that order.



--- one ---
## Hf5Bi (PBE)

Data for crystalline Hf5Bi at its relaxed geometry.

```
Hf5Bi
1.0
5.7878 -1.6342 0.0000
5.7878 1.6342 0.0000
-1.9605 0.0000 7.2964
Hf Bi
5 1
Cartesian
0.0000 0.0000 0.0000 Hf
-0.7133 0.0000 4.3623 Hf
2.4765 0.0000 4.7728 Hf
3.8790 0.0000 1.9745 Hf
6.9527 0.0000 2.4263 Hf
6.4731 0.0000 6.8307 Bi
```



--- two ---
## Hf5Bi (PBE)

Data for crystalline Hf5Bi at its relaxed geometry.

```
Hf5Bi
1.0
2.1911 -7.1159 0.0000
2.1911 7.1159 0.0000
0.0000 0.0000 4.3757
Hf Bi
5 1
Cartesian
0.0000 0.0000 0.0000 Hf
2.1911 4.6542 2.1879 Hf
2.1911 2.4404 0.0000 Hf
2.1911 -2.4404 0.0000 Hf
2.1911 -4.6542 2.1879 Hf
2.1911 0.0000 2.1879 Bi
```



Which of them is the most stable, and which is the least stable? two and one, in that order.



--- one ---
## Hf2Bi3 (PBE)

Data for crystalline Hf2Bi3 at its relaxed geometry.

```
Hf2Bi3
1.0
7.4024 0.0000 0.0000
0.0000 3.7944 0.0000
-3.0991 0.0000 10.4611
Hf Bi
4 6
Cartesian
0.2819 0.9486 1.5591 Hf
0.4073 0.9486 5.1509 Hf
3.8960 2.8458 5.3101 Hf
4.0214 2.8458 8.9019 Hf
-1.9513 0.9486 7.0821 Bi
2.1690 2.8458 0.1258 Bi
1.5253 2.8458 7.1669 Bi
2.7780 0.9486 3.2942 Bi
2.1342 0.9486 10.3353 Bi
6.2546 2.8458 3.3790 Bi
```



--- two ---
## Hf2Bi3 (PBE)

Data for crystalline Hf2Bi3 at its relaxed geometry.

```
Hf2Bi3
1.0
3.5387 2.0431 7.0145
-3.5387 2.0431 7.0145
0.0000 -4.0862 7.0145
Hf Bi
4 6
Cartesian
0.0000 0.0000 3.6873 Hf
0.0000 0.0000 6.8346 Hf
0.0000 0.0000 14.2091 Hf
0.0000 0.0000 17.3564 Hf
-2.2482 0.1922 8.7682 Bi
-1.2905 -1.8509 12.2755 Bi
0.9576 -2.0431 8.7682 Bi
-0.9576 2.0431 12.2755 Bi
1.2905 1.8509 8.7682 Bi
2.2482 -0.1922 12.2755 Bi
```



Which of them is the most stable, and which is the least stable? one and two, in that order.



--- one ---
## Hf3HgBi (PBE)

Data for crystalline Hf3HgBi at its relaxed geometry.

```
Hf3HgBi
1.0
6.8368 -4.5612 0.0000
6.8368 4.5612 0.0000
-6.4380 0.0000 7.3524
Hf Hg Bi
12 4 4
Cartesian
0.0008 3.5221 6.3121 Hf
-0.6348 1.0871 4.0935 Hf
4.0158 3.5221 4.7165 Hf
3.1468 1.3223 2.5188 Hf
2.5842 -1.0871 0.4173 Hf
7.3078 1.3223 1.1575 Hf
-0.0722 -1.3223 6.1950 Hf
4.6513 1.0871 6.9351 Hf
4.0888 -1.3223 4.8337 Hf
3.2198 -3.5221 2.6359 Hf
7.8703 -1.0871 3.2589 Hf
7.2348 -3.5221 1.0403 Hf
5.2273 3.6187 1.8381 Hg
2.0083 1.4400 5.5143 Hg
5.2273 -1.4400 1.8381 Hg
2.0083 -3.6187 5.5143 Hg
-1.8240 1.0362 6.9699 Bi
1.3950 -1.0362 3.2936 Bi
5.8405 1.0362 4.0588 Bi
9.0595 -1.0362 0.3826 Bi
```



--- two ---
## Hf3HgBi (PBE)

Data for crystalline Hf3HgBi at its relaxed geometry.

```
Hf3HgBi
1.0
5.3312 0.0000 0.0000
0.0000 5.3312 0.0000
0.0000 0.0000 5.3312
Hf Hg Bi
3 1 1
Cartesian
0.0000 0.0000 2.6656 Hf
0.0000 2.6656 0.0000 Hf
2.6656 0.0000 0.0000 Hf
2.6656 2.6656 2.6656 Hg
0.0000 0.0000 0.0000 Bi
```



Which of them is the most stable, and which is the least stable? one and two, in that order.



--- one ---
## Hf6HgBi (PBE)

Data for crystalline Hf6HgBi at its relaxed geometry.

```
Hf6HgBi
1.0
3.2965 -5.2067 0.0000
3.2965 5.2067 0.0000
0.0000 0.0000 5.2248
Hf Hg Bi
6 1 1
Cartesian
1.6483 2.6034 2.6124 Hf
1.5293 0.0000 0.0000 Hf
3.2965 2.6023 0.0000 Hf
1.6483 -2.6034 2.6124 Hf
3.2965 -2.6023 0.0000 Hf
5.0638 0.0000 0.0000 Hf
0.0000 0.0000 2.6124 Hg
3.2965 0.0000 2.6124 Bi
```



--- two ---
## Hf6HgBi (PBE)

Data for crystalline Hf6HgBi at its relaxed geometry.

```
Hf6HgBi
1.0
5.6026 0.0000 0.0000
0.0000 5.6038 0.0000
-0.0073 0.0000 5.6055
Hf Hg Bi
6 1 1
Cartesian
0.0000 1.3802 0.0000 Hf
0.0000 4.2236 0.0000 Hf
1.3787 2.8019 2.8018 Hf
2.7949 0.0000 1.4213 Hf
2.8004 0.0000 4.1842 Hf
4.2166 2.8019 2.8037 Hf
-0.0037 0.0000 2.8028 Hg
2.8013 2.8019 0.0000 Bi
```



Which of them is the most stable, and which is the least stable? two and one, in that order.



--- one ---
## HfHgBi3 (PBE)

Data for crystalline HfHgBi3 at its relaxed geometry.

```
HfHgBi3
1.0
5.5865 0.0000 0.0000
0.0000 5.5865 0.0000
0.0000 0.0000 5.5865
Hf Hg Bi
1 1 3
Cartesian
0.0000 0.0000 0.0000 Hf
2.7932 2.7932 2.7932 Hg
0.0000 2.7932 2.7932 Bi
2.7932 0.0000 2.7932 Bi
2.7932 2.7932 0.0000 Bi
```



--- two ---
## HfHgBi3 (PBE)

Data for crystalline HfHgBi3 at its relaxed geometry.

```
HfHgBi3
1.0
5.6582 0.0000 0.0000
0.0000 5.6582 0.0000
0.0000 0.0000 5.6582
Hf Hg Bi
1 1 3
Cartesian
0.0000 0.0000 0.0000 Hf
2.8291 2.8291 2.8291 Hg
0.0000 0.0000 2.8291 Bi
0.0000 2.8291 0.0000 Bi
2.8291 0.0000 0.0000 Bi
```



Which of them is the most stable, and which is the least stable? two and one, in that order.



--- one ---
## KHfHgBi2 (PBE)

Data for crystalline KHfHgBi2 at its relaxed geometry.

```
KHfHgBi2
1.0
5.6647 0.0000 0.0000
0.0000 5.6647 0.0000
0.0000 0.0000 5.7838
K Hf Hg Bi
1 1 1 2
Cartesian
0.0000 0.0000 0.0000 K
2.8324 2.8324 2.8919 Hf
2.8324 2.8324 0.0000 Hg
0.0000 2.8324 2.8919 Bi
2.8324 0.0000 2.8919 Bi
```



--- two ---
## KHfHgBi2 (PBE)

Data for crystalline KHfHgBi2 at its relaxed geometry.

```
KHfHgBi2
1.0
5.7595 0.0000 0.0000
0.0000 5.7595 0.0000
0.0000 0.0000 5.5403
K Hf Hg Bi
1 1 1 2
Cartesian
0.0000 0.0000 0.0000 K
2.8798 2.8798 0.0000 Hf
0.0000 0.0000 2.7701 Hg
0.0000 2.8798 2.7701 Bi
2.8798 0.0000 2.7701 Bi
```



Which of them is the most stable, and which is the least stable? one and two, in that order.